Pa2MnPdS5 | PBE | relaxed

POSCAR file:
```
Pa2MnPdS5
1.0
3.8561 0.0000 0.0000
-1.9280 8.1176 0.0000
0.0000 0.0000 10.8211
Pa Mn Pd S
4 2 2 10
direct
0.8807 0.7614 0.8083
0.1248 0.2496 0.6863
0.1193 0.2386 0.3083
0.8752 0.7504 0.1863
0.5957 0.1914 0.9916
0.4043 0.8086 0.4916
0.7744 0.5489 0.4646
0.2256 0.4511 0.9646
0.3703 0.7406 0.0023
0.7065 0.4130 0.8295
0.5156 0.0311 0.8013
0.3061 0.6121 0.6593
0.9689 0.9378 0.5807
0.6297 0.2594 0.5023
0.2935 0.5870 0.3295
0.4844 0.9689 0.3013
0.6939 0.3879 0.1593
0.0311 0.0622 0.0807
```

As for the final energy: -7.156 eV per atom. As for the formation energy (no corrections): -1.157 eV/atom.